# 1
Ac2Tb2ErHg5 | PBE-GGA | optimized geometry

a b c (Å): 12.2090 12.2090 3.9702
angles (deg): 90.00 90.00 90.00
Space group P4/mbm (No. 127)
One atom of each set of equivalent atoms:
Ac 0.1715 0.3285 0.0000
Tb 0.1317 0.6317 0.0000
Er 0.0000 0.0000 0.0000
Hg 0.0000 0.5000 0.5000
Hg 0.0815 0.8225 0.5000

Results
Energy of formation from the pure elements: -0.347 eV per atom



# 2
Li4Dy3ThTe8 | PBE-GGA | optimized geometry

a b c (Å): 8.6699 8.6699 21.2903
angles (deg): 90.00 90.00 120.00
Space group R-3m (No. 166, hexagonal axes)
One atom of each set of equivalent atoms:
Li 0.0000 0.0000 0.0000
Li 0.0000 0.5000 0.0000
Dy 0.0000 0.5000 0.5000
Th 0.0000 0.0000 0.5000
Te 0.0000 0.0000 0.2520
Te 0.0046 0.5023 0.7464

Results
Formation energy from raw total energies: -19.79 eV per formula unit



# 3
Pm6Tl6Pb | PBE-GGA | optimized geometry

a b c (Å): 6.6364 6.6364 10.6219
angles (deg): 90.00 90.00 120.00
Space group P6/mmm (No. 191)
One atom of each set of equivalent atoms:
Pm 0.0000 0.0000 0.1957
Pm 0.3333 0.6667 0.0000
Pm 0.3333 0.6667 0.5000
Tl 0.0000 0.5000 0.2480
Pb 0.0000 0.0000 0.5000

Results
Energy of formation from the pure elements: -0.249 eV per atom



# 4
LiS3Br3 | PBE-GGA | optimized geometry

a b c (Å): 7.0577 8.8655 8.9557
angles (deg): 108.86 100.18 98.07
Space group P-1 (No. 2)
One atom of each set of equivalent atoms:
Li 0.0880 0.4654 0.3497
S 0.3081 0.1039 0.2010
S 0.3529 0.9472 0.0056
S 0.4460 0.9283 0.3798
Br 0.1518 0.7926 0.4006
Br 0.1649 0.3031 0.0939
Br 0.2027 0.4054 0.6000

Results
Formation energy from raw total energies: -2.52 eV per formula unit



> Which formula does entry 4 have?

LiS3Br3